A plane-wave DFT calculation with PBE was carried out for an optimized crystal structure of Tb2PrMg3Ir2Pt.

a = 4.0683 Å, b = 7.4026 Å, c = 7.4026 Å
α = 120.16°, β = 90.00°, γ = 90.00°
Fractional positions:
Ir 0.5000 0.6725 0.3309
Ir 0.5000 0.3309 0.6725
Mg 0.5000 0.9969 0.2455
Mg 0.5000 0.7561 0.7561
Mg 0.5000 0.2455 0.9969
Pr 0.0000 0.4161 0.4161
Pt 0.0000 0.9941 0.9941
Tb 0.0000 0.5877 0.0001
Tb 0.0000 0.0001 0.5877

Calculated values
Volume (A^3/atom): 21.42
SG: Amm2, No. 38
Total moment (μB per cell): 0.00
Calculated total energy (eV/atom): -5.46
Theoretical density (Mg/m³): 9.57